Ce5Pu2Ag: optimized geometry, PBE.

Lattice parameters (Å, degrees): 6.5213 6.5242 6.5231 118.22 118.22 93.11
Each line ends with the local moment (μB).
Positions (direct):
Ce 0.2908 0.2907 0.5224  0.00
Ce 0.2905 0.7683 0.9997  0.00
Ce 0.7684 0.2909 0.0003  0.00
Ce 0.7681 0.7686 0.4776  0.00
Ce 0.2698 0.2697 0.0000  0.00
Pu 0.2677 0.7676 0.5001  5.41
Pu 0.7678 0.2676 0.4999  -5.41
Ag 0.7998 0.7997 0.0000  0.00

Calculated values
**V**: 201.2 Å³ per cell
**Magnetization**: 0.00 μB per formula unit
**Formation energy**: 28 meV/atom
**Energy**: -7.620 eV/atom
**Space group**: I4mm (107)

CePu2Ag: optimized geometry, PBE.

Lattice parameters (Å, degrees): 5.0500 4.5262 4.5262 90.00 90.00 90.00
Each line ends with the local moment (μB).
Positions (direct):
Ag 0.5000 0.5000 0.5000  0.07
Ce 0.5000 0.0000 0.0000  0.99
Pu 0.0000 0.0000 0.5000  5.69
Pu 0.0000 0.5000 0.0000  5.69

Calculated values
**V**: 103.5 Å³ per cell
**Energy relative to the lowest polymorph listed for this composition**: 0.039 eV per atom
**Magnetization**: 13.60 μB per formula unit
**Formation energy**: 123 meV/atom
**Energy**: -9.240 eV/atom
**Space group**: P4/mmm (123)

Ce14Pu3Ag6: optimized geometry, PBE.

Lattice parameters (Å, degrees): 6.2640 10.2853 10.2854 120.00 90.00 90.00
Each line ends with the local moment (μB).
Positions (direct):
Ce 0.0562 0.1267 0.2522  0.07
Ce 0.0561 0.7478 0.8745  0.07
Ce 0.0562 0.1256 0.8734  0.07
Ce 0.6254 0.1968 0.3594  -0.23
Ce 0.6254 0.6406 0.8373  -0.23
Ce 0.6254 0.1627 0.8032  -0.23
Ce 0.4674 0.0000 0.0000  -0.02
Ce 0.9001 0.3333 0.6667  -0.10
Ce 0.5796 0.8135 0.1488  -0.75
Ce 0.5796 0.8512 0.6648  -0.75
Ce 0.5795 0.3352 0.1865  -0.75
Ce 0.2827 0.4815 0.5342  0.02
Ce 0.2827 0.4658 0.9473  0.02
Ce 0.2827 0.0527 0.5185  0.02
Pu 0.8699 0.0000 0.0000  3.50
Pu 0.3025 0.3333 0.6666  3.08
Pu 0.5373 0.6667 0.3333  -5.72
Ag 0.0759 0.7593 0.2253  -0.01
Ag 0.0759 0.7747 0.5340  -0.01
Ag 0.0759 0.4660 0.2407  -0.01
Ag 0.8022 0.5325 0.5057  -0.02
Ag 0.8022 0.4943 0.0268  -0.02
Ag 0.8022 0.9732 0.4675  -0.02

Calculated values
**V**: 573.9 Å³ per cell
**Magnetization**: 3.62 μB per formula unit
**Formation energy**: 7 meV/atom
**Energy**: -6.218 eV/atom
**Space group**: P3 (143)

Copy entry 1 word for word.
Ce5Pu2Ag: optimized geometry, PBE.

Lattice parameters (Å, degrees): 6.5213 6.5242 6.5231 118.22 118.22 93.11
Each line ends with the local moment (μB).
Positions (direct):
Ce 0.2908 0.2907 0.5224  0.00
Ce 0.2905 0.7683 0.9997  0.00
Ce 0.7684 0.2909 0.0003  0.00
Ce 0.7681 0.7686 0.4776  0.00
Ce 0.2698 0.2697 0.0000  0.00
Pu 0.2677 0.7676 0.5001  5.41
Pu 0.7678 0.2676 0.4999  -5.41
Ag 0.7998 0.7997 0.0000  0.00

Calculated values
**V**: 201.2 Å³ per cell
**Magnetization**: 0.00 μB per formula unit
**Formation energy**: 28 meV/atom
**Energy**: -7.620 eV/atom
**Space group**: I4mm (107)

What is the formula in the second record?
CePu2Ag

What is the magnetization in the first record?
0.00 μB per formula unit